No. 1
First-principles (PBE) data for a relaxed Sm2YIn crystal, as listed in Alexandria via LeMat-Bulk.

Cell lengths 3.619, 3.619, 9.467 Å; angles 90.00, 90.00, 90.00 degrees
Sites, in units of the cell vectors:
Sm 0.000 0.000 0.226
Sm 0.000 0.000 0.774
Y 0.500 0.500 0.500
In 0.500 0.500 0.000

Calculated values
- Energy relative to the lowest polymorph listed for this composition: 59 meV per atom
- Crystal system: tetragonal
- DFT formation energy: -215 meV per atom
- Space group: P4/mmm, No. 123

No. 2
First-principles (PBE) data for a relaxed ScMn2CrH crystal, as listed in Alexandria via LeMat-Bulk.

Cell lengths 4.766, 4.766, 4.876 Å; angles 90.00, 90.00, 90.00 degrees
Sites, in units of the cell vectors:
Sc 0.000 0.000 0.000
Mn 0.000 0.500 0.000
Mn 0.500 0.000 0.000
Cr 0.000 0.000 0.500
H 0.500 0.500 0.500

Calculated values
- Crystal system: tetragonal
- Energy: -27.5 eV for the cell shown
- Space group: P4/mmm, No. 123

No. 3
First-principles (PBE) data for a relaxed Cu2ReRu crystal, as listed in Alexandria via LeMat-Bulk.

Cell lengths 8.666, 8.666, 8.666 Å; angles 18.03, 18.03, 18.03 degrees
Sites, in units of the cell vectors:
Cu 0.000 0.000 0.000
Cu 0.256 0.256 0.256
Re 0.754 0.754 0.754
Ru 0.502 0.502 0.502

Calculated values
- Energy relative to the lowest polymorph listed for this composition: 0 meV per atom
- Crystal system: trigonal
- DFT formation energy: 133 meV per atom
- Space group: R3m, No. 160

No. 4
First-principles (PBE) data for a relaxed LiSmHoOs crystal, as listed in Alexandria via LeMat-Bulk.

Cell lengths 4.936, 4.936, 4.936 Å; angles 60.00, 60.00, 60.00 degrees
Sites, in units of the cell vectors:
Li 0.000 0.000 0.000
Sm 0.250 0.250 0.250
Ho 0.750 0.750 0.750
Os 0.500 0.500 0.500

Calculated values
- Crystal system: cubic
- DFT formation energy: -191 meV per atom
- Space group: F-43m, No. 216

No. 5
First-principles (PBE) data for a relaxed Cs4TlI6 crystal, as listed in Alexandria via LeMat-Bulk.

Cell lengths 10.876, 10.876, 17.071 Å; angles 114.86, 114.86, 56.63 degrees
Sites, in units of the cell vectors:
Cs 0.064 0.936 0.500
Cs 0.340 0.557 0.193
Cs 0.382 0.985 0.829
Cs 0.557 0.340 0.693
Cs 0.624 0.944 0.179
Cs 0.936 0.064 0.000
Cs 0.944 0.624 0.679
Cs 0.985 0.382 0.329
Tl 0.462 0.980 0.423
Tl 0.980 0.462 0.923
I 0.013 0.667 0.278
I 0.156 0.625 0.947
I 0.205 0.222 0.035
I 0.220 0.715 0.665
I 0.222 0.205 0.535
I 0.284 0.965 0.224
I 0.625 0.156 0.447
I 0.631 0.650 0.440
I 0.650 0.631 0.940
I 0.667 0.013 0.778
I 0.715 0.220 0.165
I 0.965 0.284 0.724

Calculated values
- Crystal system: monoclinic
- Space group: Cc, No. 9
- Raw formation energy: -113.75 kJ/mol of atoms

No. 6
First-principles (PBE) data for a relaxed AcLaCdAg crystal, as listed in Alexandria via LeMat-Bulk.

Cell lengths 5.595, 5.595, 5.595 Å; angles 60.00, 60.00, 60.00 degrees
Sites, in units of the cell vectors:
Ac 0.000 0.000 0.000
La 0.500 0.500 0.500
Cd 0.250 0.250 0.250
Ag 0.750 0.750 0.750

Calculated values
- Crystal system: cubic
- DFT formation energy: -271 meV per atom
- Space group: F-43m, No. 216